Entry 1:
A PBEsol-optimized structure of CaIn2Te, computed with SCAN.

a = 3.9946 Å, b = 3.9946 Å, c = 25.9193 Å
α = 90.00°, β = 90.00°, γ = 120.00°
Space group R-3m (No. 166, hexagonal axes)
Asymmetric unit:
Ca1 0.0000 0.0000 0.0000 x3
In1 0.0000 0.0000 0.2423 x6
Te1 0.0000 0.0000 0.5000 x3

Summary:
Formation energy (no corrections) = -0.28 eV per atom


Entry 2:
A PBEsol-optimized structure of AlInBr2, computed with SCAN.

a = 4.4445 Å, b = 4.4445 Å, c = 21.8798 Å
α = 90.00°, β = 90.00°, γ = 120.00°
Space group R-3m (No. 166, hexagonal axes)
Asymmetric unit:
Al1 0.0000 0.0000 0.0000 x3
In1 0.0000 0.0000 0.5000 x3
Br1 0.0000 0.0000 0.2563 x6

Summary:
Formation energy (no corrections) = -0.34 eV per atom
Excess energy over the best structure of this formula in the dataset = 0.0000 eV/atom


Entry 3:
A PBEsol-optimized structure of BeNi2, computed with SCAN.

a = 3.3299 Å, b = 3.3299 Å, c = 20.4663 Å
α = 90.00°, β = 90.00°, γ = 90.00°
Space group I4_1/amd (No. 141, origin choice 2)
Asymmetric unit:
Be1 0.0000 0.2500 0.2945 x8
Ni1 0.0000 0.2500 0.1243 x8
Ni2 0.0000 0.2500 0.7897 x8

Summary:
ΔE_f = -0.75 eV per formula unit


Entry 4:
A PBEsol-optimized structure of KTeP4, computed with SCAN.

a = 8.4423 Å, b = 8.4423 Å, c = 8.4423 Å
α = 90.00°, β = 90.00°, γ = 90.00°
Space group F-43m (No. 216)
Asymmetric unit:
K1 0.0000 0.0000 0.0000 x4
Te1 0.2500 0.2500 0.7500 x4
P1 0.0930 0.0930 0.4070 x16

Summary:
Formation energy (no corrections) = 0.01 eV per atom


Entry 5:
A PBEsol-optimized structure of InTeAs2, computed with SCAN.

a = 3.5880 Å, b = 5.1983 Å, c = 10.1381 Å
α = 90.00°, β = 90.00°, γ = 90.00°
Space group Cmm2 (No. 35)
Asymmetric unit:
In1 0.0000 0.0000 0.0000 x2
Te1 0.0000 0.5000 0.7263 x2
As1 0.0000 0.0000 0.4457 x2
As2 0.0000 0.5000 0.2703 x2

Summary:
Formation energy (no corrections) = 0.28 eV per atom
Excess energy over the best structure of this formula in the dataset = 0.0794 eV/atom


Entry 6:
A PBEsol-optimized structure of MgCdNi, computed with SCAN.

a = 6.1149 Å, b = 6.1149 Å, c = 6.1149 Å
α = 90.00°, β = 90.00°, γ = 90.00°
Space group F-43m (No. 216)
Asymmetric unit:
Mg1 0.0000 0.0000 0.0000 x4
Cd1 0.2500 0.2500 0.2500 x4
Ni1 0.0000 0.0000 0.5000 x4

Summary:
Excess energy over the best structure of this formula in the dataset = 0.4088 eV/atom
ΔE_f = 1.02 eV per formula unit


Entry 7:
A PBEsol-optimized structure of Cd3Ni, computed with SCAN.

a = 4.6324 Å, b = 5.7632 Å, c = 5.1340 Å
α = 90.00°, β = 90.00°, γ = 90.00°
Space group Pmmn (No. 59, origin choice 2)
Asymmetric unit:
Cd1 0.2500 0.0017 0.1660 x4
Cd2 0.2500 0.7500 0.6379 x2
Ni1 0.2500 0.2500 0.6721 x2

Summary:
ΔE_f = 0.35 eV per formula unit


Entry 8:
A PBEsol-optimized structure of YGe3W, computed with SCAN.

a = 5.1204 Å, b = 5.1204 Å, c = 5.1204 Å
α = 90.00°, β = 90.00°, γ = 90.00°
Space group Pm-3m (No. 221)
Asymmetric unit:
Y1 0.0000 0.0000 0.0000 x1
Ge1 0.0000 0.0000 0.5000 x3
W1 0.5000 0.5000 0.5000 x1

Summary:
ΔE_f = 9.32 eV per formula unit


Entry 9:
A PBEsol-optimized structure of CaCuPb2, computed with SCAN.

a = 4.3418 Å, b = 4.6162 Å, c = 9.7824 Å
α = 90.00°, β = 90.00°, γ = 90.00°
Space group Imm2 (No. 44)
Asymmetric unit:
Ca1 0.0000 0.0000 0.0000 x2
Cu1 0.0000 0.5000 0.7632 x2
Pb1 0.0000 0.0000 0.4525 x2
Pb2 0.0000 0.5000 0.2289 x2

Summary:
ΔE_f = -0.60 eV per formula unit


Entry 10:
A PBEsol-optimized structure of Li2TiV3O8, computed with SCAN.

a = 10.1774 Å, b = 5.7590 Å, c = 9.9759 Å
α = 90.00°, β = 109.02°, γ = 90.00°
Space group C2 (No. 5)
Asymmetric unit:
Li1 0.1846 0.0000 0.0604 x4
Li2 0.1935 0.4999 0.5654 x4
Ti1 0.2460 0.9853 0.7509 x4
V1 0.0000 0.0041 0.5000 x2
V2 0.0001 0.2464 0.2571 x4
V3 0.0000 0.5035 0.0000 x2
V4 0.0016 0.7256 0.2457 x4
O1 0.1054 0.9878 0.3671 x4
O2 0.1135 0.4874 0.8724 x4
O3 0.1144 0.9897 0.8557 x4
O4 0.1153 0.7650 0.6306 x4
O5 0.1158 0.2702 0.1317 x4
O6 0.1230 0.2280 0.6287 x4
O7 0.1225 0.7244 0.1292 x4
O8 0.1238 0.4901 0.3632 x4

Summary:
Formation energy (no corrections) = -2.76 eV per atom
Excess energy over the best structure of this formula in the dataset = 0.0034 eV/atom


Entry 11:
A PBEsol-optimized structure of NbCoP2S, computed with SCAN.

a = 4.2020 Å, b = 4.2020 Å, c = 4.3869 Å
α = 90.00°, β = 90.00°, γ = 90.00°
Space group P4/mmm (No. 123)
Asymmetric unit:
Nb1 0.0000 0.0000 0.0000 x1
Co1 0.5000 0.5000 0.5000 x1
P1 0.0000 0.5000 0.5000 x2
S1 0.5000 0.5000 0.0000 x1

Summary:
Formation energy (no corrections) = 0.50 eV per atom


Entry 12:
A PBEsol-optimized structure of LaSc3Co, computed with SCAN.

a = 4.9124 Å, b = 4.9124 Å, c = 4.9124 Å
α = 90.00°, β = 90.00°, γ = 90.00°
Space group Pm-3m (No. 221)
Asymmetric unit:
La1 0.0000 0.0000 0.0000 x1
Sc1 0.0000 0.5000 0.5000 x3
Co1 0.5000 0.5000 0.5000 x1

Summary:
ΔE_f = -0.50 eV per formula unit


Sequential total magnetization output: 0.00; 0.00; 0.00; 0.17; 0.00; 0.00; 0.00; 0.72; 0.00; 0.36; 0.18; 0.00 μB/atom
Sequential E_tot output: -344.421; -244.201; -299.614; -348.443; -219.821; -202.179; -214.125; -145.475; -354.047; -647.061; -78.339; -103.620 eV per cell